DFT (GGA-PBE) results for a geometry-optimized BaB2Pt2O7 structure.

POSCAR file:
```
BaB2Pt2O7
1.0
2.5630 1.4797 9.5648
-2.5630 1.4797 9.5648
0.0000 -2.9595 9.5648
Ba B Pt O
1 2 2 7
direct
0.0000 0.0000 0.0000
0.2687 0.2687 0.2687
0.7313 0.7313 0.7313
0.4362 0.4362 0.4362
0.5638 0.5638 0.5638
0.0150 0.4787 0.6927
0.3073 0.5213 0.9850
0.4787 0.6927 0.0150
0.5000 0.5000 0.5000
0.5213 0.9850 0.3073
0.6927 0.0150 0.4787
0.9850 0.3073 0.5213
```

Results
V: 217.65 Å³ per cell
Crystal system: trigonal
E: -6.523 eV per atom
Formation energy (no corrections): -1.35 eV/atom